[1]
Computed, not measured: Pr3IBr2O6 after structural relaxation at the GGA-PBE level of DFT.

It has space group C2/m (No. 12), with a = 12.274 Å, b = 7.003 Å, c = 5.897 Å, α = 90.00°, β = 100.81° and γ = 90.00°. The inequivalent atoms are Pr at (0.000, 0.000, 0.000), Pr at (0.250, 0.250, 0.500), I at (0.000, 0.500, 0.500), Br at (0.219, 0.000, 0.879), O at (0.059, 0.254, 0.300) and O at (0.165, 0.500, 0.657).

The crystal system is monoclinic. The calculation puts the calculated volume at 20.7 Å³/atom. For the uncorrected formation energy, the calculation gives -1788.9 meV per atom.


[2]
Computed, not measured: Ba2SbP after structural relaxation at the GGA-PBE level of DFT.

It has space group Fm-3m (No. 225), with a = 8.231 Å, b = 8.231 Å, c = 8.231 Å, α = 90.00°, β = 90.00° and γ = 90.00°. The inequivalent atoms are Ba at (0.250, 0.250, 0.250), Sb at (0.000, 0.000, 0.000) and P at (0.000, 0.000, 0.500).

The crystal system is cubic. The calculation puts the calculated volume at 34.9 Å³/atom. The value obtained for the offset from the most stable computed form is 91 kJ/mol of formula units. For the uncorrected formation energy, the calculation gives -647.7 meV per atom.


[3]
Computed, not measured: Ac2NdThS4 after structural relaxation at the GGA-PBE level of DFT.

It has space group P2/m (No. 10), with a = 7.218 Å, b = 4.158 Å, c = 7.268 Å, α = 90.00°, β = 109.27° and γ = 90.00°. The inequivalent atoms are Ac at (0.000, 0.000, 0.000), Ac at (0.500, 0.500, 0.000), Nd at (0.000, 0.500, 0.500), Th at (0.500, 0.000, 0.500), S at (0.246, 0.000, 0.733) and S at (0.256, 0.500, 0.267).

The crystal system is monoclinic. The calculation puts the calculated volume at 25.7 Å³/atom. For the uncorrected formation energy, the calculation gives -1952.2 meV per atom.


[4]
Computed, not measured: CuHgO3 after structural relaxation at the GGA-PBE level of DFT.

It has space group Pm-3m (No. 221), with a = 3.799 Å, b = 3.799 Å, c = 3.799 Å, α = 90.00°, β = 90.00° and γ = 90.00°. The inequivalent atoms are Cu at (0.000, 0.000, 0.000), Hg at (0.500, 0.500, 0.500) and O at (0.000, 0.000, 0.500).

The crystal system is cubic. The calculation puts the calculated volume at 11.0 Å³/atom. For the uncorrected formation energy, the calculation gives 79.5 meV per atom.


[5]
Computed, not measured: Rb5SbTe6 after structural relaxation at the GGA-PBE level of DFT.

It has space group C2/m (No. 12), with a = 9.097 Å, b = 15.455 Å, c = 8.692 Å, α = 90.00°, β = 111.37° and γ = 90.00°. The inequivalent atoms are Rb at (0.000, 0.000, 0.000), Rb at (0.000, 0.164, 0.500), Rb at (0.000, 0.319, 0.000), Sb at (0.000, 0.500, 0.500), Te at (0.184, 0.500, 0.290) and Te at (0.203, 0.364, 0.707).

The crystal system is monoclinic. The calculation puts the calculated volume at 47.4 Å³/atom. For the uncorrected formation energy, the calculation gives -510.8 meV per atom.


[6]
Computed, not measured: ZrTeCl2 after structural relaxation at the GGA-PBE level of DFT.

It has space group Cm (No. 8), with a = 13.763 Å, b = 3.247 Å, c = 7.418 Å, α = 90.00°, β = 117.76° and γ = 90.00°. The inequivalent atoms are Zr at (0.000, 0.000, 0.000), Te at (0.338, 0.000, 0.679), Cl at (0.147, 0.500, 0.015) and Cl at (0.491, 0.000, 0.258).

The crystal system is monoclinic. The calculation puts the calculated volume at 36.7 Å³/atom. The value obtained for the offset from the most stable computed form is 0 kJ/mol of formula units. For the uncorrected formation energy, the calculation gives -1346.7 meV per atom.


[7]
Computed, not measured: Cs12SeO3F4 after structural relaxation at the GGA-PBE level of DFT.

It has space group Im-3 (No. 204), with a = 11.094 Å, b = 11.094 Å, c = 11.094 Å, α = 90.00°, β = 90.00° and γ = 90.00°. The inequivalent atoms are Cs at (0.000, 0.172, 0.315), Se at (0.000, 0.000, 0.000), O at (0.000, 0.000, 0.500) and F at (0.250, 0.250, 0.250).

The crystal system is cubic. The calculation puts the calculated volume at 34.1 Å³/atom. For the uncorrected formation energy, the calculation gives -1624.4 meV per atom.


[8]
Computed, not measured: La2ScGa4Au3 after structural relaxation at the GGA-PBE level of DFT.

It has space group P-4m2 (No. 115), with a = 4.363 Å, b = 4.363 Å, c = 11.513 Å, α = 90.00°, β = 90.00° and γ = 90.00°. The inequivalent atoms are La at (0.000, 0.500, 0.242), Sc at (0.000, 0.000, 0.500), Ga at (0.000, 0.000, 0.000), Ga at (0.000, 0.500, 0.649), Ga at (0.500, 0.500, 0.000), Au at (0.000, 0.500, 0.870) and Au at (0.500, 0.500, 0.500).

The crystal system is tetragonal. The calculation puts the calculated volume at 21.9 Å³/atom. Its total energy is -4.50 eV/atom.


[9]
Computed, not measured: RbHfCuS3 after structural relaxation at the GGA-PBE level of DFT.

It has space group P2_1/m (No. 11), with a = 8.766 Å, b = 3.771 Å, c = 9.392 Å, α = 90.00°, β = 113.44° and γ = 90.00°. The inequivalent atoms are Rb at (0.225, 0.250, 0.256), Hf at (0.316, 0.750, 0.837), Cu at (0.084, 0.250, 0.602), S at (0.129, 0.250, 0.861), S at (0.215, 0.750, 0.549) and S at (0.473, 0.750, 0.143).

The crystal system is monoclinic. The calculation puts the calculated volume at 23.7 Å³/atom. For the uncorrected formation energy, the calculation gives -1273.3 meV per atom.


[10]
Computed, not measured: Ac12In3Pd5 after structural relaxation at the GGA-PBE level of DFT.

It has space group Ia-3d (No. 230), with a = 18.651 Å, b = 18.651 Å, c = 18.651 Å, α = 90.00°, β = 90.00° and γ = 90.00°. The inequivalent atoms are Ac at (0.025, 0.062, 0.650), In at (0.000, 0.250, 0.125), Pd at (0.000, 0.000, 0.000) and Pd at (0.000, 0.250, 0.375).

The crystal system is cubic. The calculation puts the calculated volume at 40.5 Å³/atom. Its total energy is -4.47 eV/atom.


Which of these has the lowest calculated volume?
CuHgO3